Density functional theory data (PBE) for a relaxed structure of AgO.

Cell and atoms, written as POSCAR:
```
AgO
1.0
6.511 0.000 0.000
0.000 6.511 0.000
0.000 0.000 3.159
Ag O
4 4
direct
0.188 0.188 0.000 Ag
0.312 0.688 0.500 Ag
0.688 0.312 0.500 Ag
0.812 0.812 0.000 Ag
0.153 0.847 0.000 O
0.347 0.347 0.500 O
0.653 0.653 0.500 O
0.847 0.153 0.000 O
```

Results
Total energy (eV per atom): -3.701
Raw formation energy (meV/atom): 204
Space group: No. 136
Size of the total moment (μB/f.u.): 0.00